# Na2InHg2

An optimized crystal structure of Na2InHg2 (PBE, the Alexandria database).

a = 4.9909 Å, b = 5.2720 Å, c = 6.0641 Å
α = 69.94°, β = 67.10°, γ = 62.13°
Closest atoms and distances in Å follow each position.
Fractional positions:
Na 0.2099 0.2171 0.3684  4 Hg 3.11-3.19, 3 Na 3.26-3.40, 2 In 3.47-3.48
Na 0.7901 0.7829 0.6316  4 Hg 3.11-3.19, 3 Na 3.26-3.40, 2 In 3.47-3.48
In 0.0000 0.0000 0.0000  6 Hg 3.17-3.30, 6 Na 3.47-3.54
Hg 0.4089 0.3885 0.7867  4 Na 3.11-3.19, 1 Hg 3.17, 3 In 3.17-3.30
Hg 0.5911 0.6115 0.2133  4 Na 3.11-3.19, 1 Hg 3.17, 3 In 3.17-3.30

Values from the calculation:
Symmetry: P-1, No. 2
Offset from the most stable computed form, meV/atom: 0.0
M_tot, μB/cell: 0.0
Raw total energy, Ha/atom: -0.05138

=====

# NaInHg

An optimized crystal structure of NaInHg (PBE, the Alexandria database).

a = 4.2904 Å, b = 4.6026 Å, c = 8.3859 Å
α = 90.00°, β = 90.03°, γ = 90.00°
Closest atoms and distances in Å follow each position.
Fractional positions:
Na 0.2495 0.2500 0.1477  5 Hg 3.10-3.21
Na 0.7505 0.7500 0.8523  5 Hg 3.10-3.21
In 0.2497 0.7500 0.5141  4 In 3.15-3.16, 4 Hg 3.19-3.25
In 0.7503 0.2500 0.4859  4 In 3.15-3.16, 4 Hg 3.19-3.25
Hg 0.2509 0.2500 0.7776  5 Na 3.10-3.21, 4 In 3.19-3.25
Hg 0.7491 0.7500 0.2224  5 Na 3.10-3.21, 4 In 3.19-3.25

Values from the calculation:
Symmetry: P2_1/m, No. 11
Offset from the most stable computed form, meV/atom: 52.4
M_tot, μB/cell: 0.0
Raw total energy, Ha/atom: -0.05841

=====

# Na3In8Hg3

An optimized crystal structure of Na3In8Hg3 (PBE, the Alexandria database).

a = 9.0204 Å, b = 9.0204 Å, c = 9.0204 Å
α = 147.27°, β = 95.24°, γ = 93.87°
Closest atoms and distances in Å follow each position.
Fractional positions:
Na 0.0000 0.0000 0.0000  12 In 3.36-3.72, 2 Na 3.55
Na 0.2916 0.0000 0.2916  2 Hg 3.14
Na 0.7084 0.0000 0.7084  2 Hg 3.14
In 0.0090 0.3776 0.6314  5 In 3.02-3.20, 1 Hg 3.22, 2 Na 3.36
In 0.1233 0.2669 0.8564  3 In 3.06-3.11, 3 Hg 3.25-3.36
In 0.2539 0.6224 0.6314  5 In 3.02-3.20, 1 Hg 3.22, 2 Na 3.36
In 0.4105 0.2669 0.1436  3 In 3.06-3.11, 3 Hg 3.25-3.36
In 0.5895 0.7331 0.8564  3 In 3.06-3.11, 3 Hg 3.25-3.36
In 0.7461 0.3776 0.3686  5 In 3.02-3.20, 1 Hg 3.22, 2 Na 3.36
In 0.8767 0.7331 0.1436  3 In 3.06-3.11, 3 Hg 3.25-3.36
In 0.9910 0.6224 0.3686  5 In 3.02-3.20, 1 Hg 3.22, 2 Na 3.36
Hg 0.3492 0.8492 0.5000  2 Na 3.14, 2 Hg 3.15, 6 In 3.22-3.25
Hg 0.5000 0.5000 0.0000  4 Hg 3.15, 4 In 3.36
Hg 0.6508 0.1508 0.5000  2 Na 3.14, 2 Hg 3.15, 6 In 3.22-3.25

Values from the calculation:
Symmetry: Immm, No. 71
M_tot, μB/cell: 0.0
Raw total energy, Ha/atom: -0.07315

=====

# NaIn4Hg6

An optimized crystal structure of NaIn4Hg6 (PBE, the Alexandria database).

a = 6.2621 Å, b = 6.2621 Å, c = 8.7885 Å
α = 110.42°, β = 110.42°, γ = 90.23°
Closest atoms and distances in Å follow each position.
Fractional positions:
Na 0.0000 0.0000 0.0000  8 Hg 3.11-3.19, 3 In 3.41-3.47
In 0.1865 0.5520 0.7352  5 Hg 2.97-3.25, 1 In 3.24
In 0.4397 0.4397 0.2745  7 Hg 2.95-3.30, 1 In 3.23
In 0.5520 0.1865 0.7352  5 Hg 2.97-3.25, 1 In 3.24
In 0.7968 0.7968 0.2571  5 Hg 2.98-3.23, 1 In 3.23
Hg 0.0043 0.4994 0.0013  4 In 3.05-3.08, 2 Na 3.12-3.14
Hg 0.0163 0.0163 0.6458  3 In 2.98-3.25, 1 Na 3.19
Hg 0.3548 0.9704 0.3472  4 In 2.97-3.30, 1 Na 3.15
Hg 0.4994 0.0043 0.0013  4 In 3.05-3.08, 2 Na 3.12-3.14
Hg 0.6392 0.6392 0.6606  3 In 2.95-3.21, 1 Na 3.11
Hg 0.9704 0.3548 0.3472  4 In 2.97-3.30, 1 Na 3.15

Values from the calculation:
Symmetry: Cm, No. 8
Offset from the most stable computed form, meV/atom: 0.0
M_tot, μB/cell: 0.0
Raw total energy, Ha/atom: -0.04821

=====

# Na6InHg12

An optimized crystal structure of Na6InHg12 (PBE, the Alexandria database).

a = 8.0080 Å, b = 8.0080 Å, c = 8.0080 Å
α = 94.76°, β = 94.76°, γ = 94.76°
Closest atoms and distances in Å follow each position.
Fractional positions:
Na 0.2029 0.7624 0.3705  9 Hg 3.15-3.48, 1 In 3.45
Na 0.2376 0.6295 0.7971  9 Hg 3.15-3.48, 1 In 3.45
Na 0.3705 0.2029 0.7624  9 Hg 3.15-3.48, 1 In 3.45
Na 0.6295 0.7971 0.2376  9 Hg 3.15-3.48, 1 In 3.45
Na 0.7624 0.3705 0.2029  9 Hg 3.15-3.48, 1 In 3.45
Na 0.7971 0.2376 0.6295  9 Hg 3.15-3.48, 1 In 3.45
In 0.5000 0.5000 0.5000  6 Hg 3.03
Hg 0.0323 0.9515 0.7084  3 Hg 2.99-3.27, 3 Na 3.15-3.27
Hg 0.0485 0.2916 0.9677  3 Hg 2.99-3.27, 3 Na 3.15-3.27
Hg 0.1303 0.3721 0.4666  2 Hg 2.99-3.09, 1 In 3.03, 3 Na 3.21-3.30
Hg 0.2916 0.9677 0.0485  3 Hg 2.99-3.27, 3 Na 3.15-3.27
Hg 0.3721 0.4666 0.1303  2 Hg 2.99-3.09, 1 In 3.03, 3 Na 3.21-3.30
Hg 0.4666 0.1303 0.3721  2 Hg 2.99-3.09, 1 In 3.03, 3 Na 3.21-3.30
Hg 0.5334 0.8697 0.6279  2 Hg 2.99-3.09, 1 In 3.03, 3 Na 3.21-3.30
Hg 0.6279 0.5334 0.8697  2 Hg 2.99-3.09, 1 In 3.03, 3 Na 3.21-3.30
Hg 0.7084 0.0323 0.9515  3 Hg 2.99-3.27, 3 Na 3.15-3.27
Hg 0.8697 0.6279 0.5334  2 Hg 2.99-3.09, 1 In 3.03, 3 Na 3.21-3.30
Hg 0.9515 0.7084 0.0323  3 Hg 2.99-3.27, 3 Na 3.15-3.27
Hg 0.9677 0.0485 0.2916  3 Hg 2.99-3.27, 3 Na 3.15-3.27

Values from the calculation:
Symmetry: R-3, No. 148
M_tot, μB/cell: 0.0
Raw total energy, Ha/atom: -0.03438

=====

# Na12InHg7

An optimized crystal structure of Na12InHg7 (PBE, the Alexandria database).

a = 8.9116 Å, b = 8.9116 Å, c = 8.9116 Å
α = 108.34°, β = 108.34°, γ = 108.34°
Closest atoms and distances in Å follow each position.
Fractional positions:
Na 0.0165 0.1436 0.7009  4 Hg 3.07-3.32, 3 Na 3.35-3.41
Na 0.1436 0.7009 0.0165  4 Hg 3.07-3.32, 3 Na 3.35-3.41
Na 0.1707 0.6277 0.4516  3 Hg 3.08-3.41, 1 Na 3.35, 1 In 3.42
Na 0.2991 0.9835 0.8564  4 Hg 3.07-3.32, 3 Na 3.35-3.41
Na 0.3723 0.5484 0.8293  3 Hg 3.08-3.41, 1 Na 3.35, 1 In 3.42
Na 0.4516 0.1707 0.6277  3 Hg 3.08-3.41, 1 Na 3.35, 1 In 3.42
Na 0.5484 0.8293 0.3723  3 Hg 3.08-3.41, 1 Na 3.35, 1 In 3.42
Na 0.6277 0.4516 0.1707  3 Hg 3.08-3.41, 1 Na 3.35, 1 In 3.42
Na 0.7009 0.0165 0.1436  4 Hg 3.07-3.32, 3 Na 3.35-3.41
Na 0.8293 0.3723 0.5484  3 Hg 3.08-3.41, 1 Na 3.35, 1 In 3.42
Na 0.8564 0.2991 0.9835  4 Hg 3.07-3.32, 3 Na 3.35-3.41
Na 0.9835 0.8564 0.2991  4 Hg 3.07-3.32, 3 Na 3.35-3.41
In 0.5000 0.5000 0.5000  6 Hg 3.13, 6 Na 3.42
Hg 0.0000 0.0000 0.0000  6 Hg 3.29, 6 Na 3.32
Hg 0.1131 0.2565 0.4150  6 Na 3.07-3.41, 1 In 3.13, 1 Hg 3.29
Hg 0.2565 0.4150 0.1131  6 Na 3.07-3.41, 1 In 3.13, 1 Hg 3.29
Hg 0.4150 0.1131 0.2565  6 Na 3.07-3.41, 1 In 3.13, 1 Hg 3.29
Hg 0.5850 0.8869 0.7435  6 Na 3.07-3.41, 1 In 3.13, 1 Hg 3.29
Hg 0.7435 0.5850 0.8869  6 Na 3.07-3.41, 1 In 3.13, 1 Hg 3.29
Hg 0.8869 0.7435 0.5850  6 Na 3.07-3.41, 1 In 3.13, 1 Hg 3.29

Values from the calculation:
Symmetry: R-3, No. 148
M_tot, μB/cell: 0.0
Raw total energy, Ha/atom: -0.04434

=====

# NaIn11Hg17

An optimized crystal structure of NaIn11Hg17 (PBE, the Alexandria database).

a = 8.7910 Å, b = 10.1499 Å, c = 10.1826 Å
α = 83.40°, β = 67.48°, γ = 66.28°
Closest atoms and distances in Å follow each position.
Fractional positions:
Na 0.0000 0.0000 0.0000  9 Hg 3.09-3.44
In 0.1233 0.8178 0.5119  7 Hg 3.15-3.46, 3 In 3.17-3.40
In 0.1585 0.3584 0.8593  8 Hg 3.13-3.38, 3 In 3.44-3.50
In 0.2348 0.6221 0.0365  5 Hg 3.12-3.41, 4 In 3.26-3.32
In 0.2649 0.1941 0.3832  5 Hg 3.09-3.39, 3 In 3.21-3.41
In 0.3627 0.7519 0.7240  5 In 3.19-3.40, 5 Hg 3.21-3.47, 1 Na 3.57
In 0.4233 0.2709 0.0576  7 Hg 3.15-3.42, 3 In 3.21-3.44
In 0.4980 0.8568 0.4081  4 Hg 3.10-3.47, 4 In 3.19-3.40
In 0.5260 0.1366 0.5775  5 Hg 3.06-3.31, 2 In 3.30-3.41
In 0.6042 0.6832 0.9305  7 Hg 3.21-3.46, 4 In 3.24-3.36
In 0.7477 0.7922 0.6116  4 Hg 3.12-3.48, 5 In 3.17-3.40
In 0.8403 0.5979 0.1422  6 Hg 3.11-3.33, 3 In 3.32-3.46
Hg 0.0284 0.2579 0.1705  4 Hg 3.09-3.43, 4 In 3.13-3.39, 1 Na 3.44
Hg 0.0841 0.5217 0.3438  3 In 3.11-3.33, 5 Hg 3.14-3.31
Hg 0.1385 0.1000 0.6920  4 In 3.09-3.38, 1 Na 3.11, 4 Hg 3.15-3.43
Hg 0.2468 0.9199 0.1982  3 In 3.15-3.47, 5 Hg 3.16-3.35, 1 Na 3.32
Hg 0.3020 0.4710 0.5513  6 Hg 3.14-3.45, 3 In 3.17-3.27
Hg 0.3917 0.0195 0.8845  4 Hg 3.17-3.40, 6 In 3.17-3.47, 1 Na 3.27
Hg 0.4579 0.5703 0.2423  6 Hg 3.14-3.39, 4 In 3.21-3.46
Hg 0.5375 0.3989 0.7556  6 Hg 3.13-3.45, 5 In 3.15-3.44
Hg 0.6345 0.9424 0.0959  4 In 3.10-3.43, 5 Hg 3.17-3.40, 1 Na 3.26
Hg 0.6587 0.2160 0.2663  3 In 3.06-3.36, 5 Hg 3.11-3.41, 1 Na 3.32
Hg 0.6816 0.5128 0.4535  3 In 3.11-3.39, 6 Hg 3.13-3.31
Hg 0.7735 0.3371 0.9651  5 Hg 3.11-3.43, 3 In 3.18-3.25, 1 Na 3.25
Hg 0.7784 0.0536 0.7869  6 Hg 3.13-3.34, 1 Na 3.30, 3 In 3.39-3.46
Hg 0.8891 0.8676 0.2933  1 Na 3.09, 4 In 3.12-3.44, 4 Hg 3.16-3.37
Hg 0.8917 0.1698 0.4813  6 Hg 3.09-3.45, 3 In 3.13-3.37
Hg 0.9099 0.4505 0.6606  6 Hg 3.13-3.36, 3 In 3.24-3.33
Hg 0.9903 0.7120 0.8322  7 In 3.20-3.48, 3 Hg 3.29-3.45

Values from the calculation:
Symmetry: P1, No. 1
M_tot, μB/cell: 0.0
Raw total energy, Ha/atom: -0.04686

=====

# Na6In2Hg

An optimized crystal structure of Na6In2Hg (PBE, the Alexandria database).

a = 9.2940 Å, b = 9.2940 Å, c = 3.9737 Å
α = 96.41°, β = 96.41°, γ = 125.65°
Closest atoms and distances in Å follow each position.
Fractional positions:
Na 0.0047 0.3477 0.3016  4 Na 3.14-3.50, 3 In 3.29-3.51
Na 0.1916 0.1916 0.8270  2 Hg 3.19-3.25, 4 Na 3.43-3.50, 2 In 3.46
Na 0.3477 0.0047 0.3016  4 Na 3.14-3.50, 3 In 3.29-3.51
Na 0.6523 0.9953 0.6984  4 Na 3.14-3.50, 3 In 3.29-3.51
Na 0.8084 0.8084 0.1730  2 Hg 3.19-3.25, 4 Na 3.43-3.50, 2 In 3.46
Na 0.9953 0.6523 0.6984  4 Na 3.14-3.50, 3 In 3.29-3.51
In 0.3579 0.6421 0.0000  2 Hg 3.08, 4 Na 3.29-3.43
In 0.6421 0.3579 0.0000  2 Hg 3.08, 4 Na 3.29-3.43
Hg 0.5000 0.5000 0.5000  4 In 3.08, 4 Na 3.19-3.25

Values from the calculation:
Symmetry: C2/m, No. 12
Offset from the most stable computed form, meV/atom: 41.1
M_tot, μB/cell: 0.0
Raw total energy, Ha/atom: -0.05792

=====

# NaIn6Hg8

An optimized crystal structure of NaIn6Hg8 (PBE, the Alexandria database).

a = 7.4903 Å, b = 7.4903 Å, c = 7.4903 Å
α = 83.25°, β = 83.25°, γ = 83.25°
Closest atoms and distances in Å follow each position.
Fractional positions:
Na 0.0000 0.0000 0.0000  8 Hg 3.07-3.12
In 0.1949 0.5727 0.4282  5 Hg 3.03-3.37, 3 In 3.26-3.29
In 0.4273 0.5718 0.8051  5 Hg 3.03-3.37, 3 In 3.26-3.29
In 0.4282 0.1949 0.5727  5 Hg 3.03-3.37, 3 In 3.26-3.29
In 0.5718 0.8051 0.4273  5 Hg 3.03-3.37, 3 In 3.26-3.29
In 0.5727 0.4282 0.1949  5 Hg 3.03-3.37, 3 In 3.26-3.29
In 0.8051 0.4273 0.5718  5 Hg 3.03-3.37, 3 In 3.26-3.29
Hg 0.0824 0.3823 0.8424  4 In 3.03-3.37, 1 Na 3.07, 2 Hg 3.16
Hg 0.1576 0.9176 0.6177  4 In 3.03-3.37, 1 Na 3.07, 2 Hg 3.16
Hg 0.2167 0.2167 0.2167  1 Na 3.12, 3 Hg 3.16, 3 In 3.24
Hg 0.3823 0.8424 0.0824  4 In 3.03-3.37, 1 Na 3.07, 2 Hg 3.16
Hg 0.6177 0.1576 0.9176  4 In 3.03-3.37, 1 Na 3.07, 2 Hg 3.16
Hg 0.7833 0.7833 0.7833  1 Na 3.12, 3 Hg 3.16, 3 In 3.24
Hg 0.8424 0.0824 0.3823  4 In 3.03-3.37, 1 Na 3.07, 2 Hg 3.16
Hg 0.9176 0.6177 0.1576  4 In 3.03-3.37, 1 Na 3.07, 2 Hg 3.16

Values from the calculation:
Symmetry: R-3, No. 148
M_tot, μB/cell: 0.0
Raw total energy, Ha/atom: -0.04997

=====

# NaIn3Hg

An optimized crystal structure of NaIn3Hg (PBE, the Alexandria database).

a = 5.6587 Å, b = 5.6587 Å, c = 5.6587 Å
α = 90.00°, β = 90.00°, γ = 90.00°
Closest atoms and distances in Å follow each position.
Fractional positions:
Na 0.0000 0.0000 0.0000  12 In 4.00
In 0.0000 0.5000 0.5000  2 Hg 2.83
In 0.5000 0.0000 0.5000  2 Hg 2.83
In 0.5000 0.5000 0.0000  2 Hg 2.83
Hg 0.5000 0.5000 0.5000  6 In 2.83

Values from the calculation:
Symmetry: Pm-3m, No. 221
Offset from the most stable computed form, meV/atom: 325.8
M_tot, μB/cell: 0.0
Raw total energy, Ha/atom: -0.06312

=====

# NaIn4Hg7

An optimized crystal structure of NaIn4Hg7 (PBE, the Alexandria database).

a = 7.1458 Å, b = 7.1458 Å, c = 9.5428 Å
α = 117.20°, β = 117.20°, γ = 50.99°
Closest atoms and distances in Å follow each position.
Fractional positions:
Na 0.0000 0.0000 0.0000  8 Hg 3.08-3.22
In 0.2445 0.2445 0.6643  7 Hg 3.08-3.23, 1 In 3.29
In 0.4979 0.4979 0.3291  6 Hg 3.08-3.19, 2 In 3.24-3.29
In 0.5021 0.5021 0.6709  6 Hg 3.08-3.19, 2 In 3.24-3.29
In 0.7555 0.7555 0.3357  7 Hg 3.08-3.23, 1 In 3.29
Hg 0.0014 0.0014 0.3319  4 In 3.08-3.19, 3 Hg 3.15-3.23, 1 Na 3.16
Hg 0.2462 0.2462 0.9987  5 Hg 3.08-3.27, 2 In 3.18, 1 Na 3.18
Hg 0.2532 0.2532 0.3364  5 In 3.08-3.19, 2 Hg 3.18-3.23, 1 Na 3.22
Hg 0.5000 0.5000 0.0000  2 Na 3.08, 4 In 3.15-3.23, 2 Hg 3.27
Hg 0.7468 0.7468 0.6636  5 In 3.08-3.19, 2 Hg 3.18-3.23, 1 Na 3.22
Hg 0.7538 0.7538 0.0013  5 Hg 3.08-3.27, 2 In 3.18, 1 Na 3.18
Hg 0.9986 0.9986 0.6681  4 In 3.08-3.19, 3 Hg 3.15-3.23, 1 Na 3.16

Values from the calculation:
Symmetry: C2/m, No. 12
Offset from the most stable computed form, meV/atom: 18.0
M_tot, μB/cell: 0.0
Raw total energy, Ha/atom: -0.04551

=====

# Na5InHg

An optimized crystal structure of Na5InHg (PBE, the Alexandria database).

a = 5.2391 Å, b = 5.2391 Å, c = 16.0313 Å
α = 90.00°, β = 90.00°, γ = 90.05°
Closest atoms and distances in Å follow each position.
Fractional positions:
Na 0.0023 0.9977 0.7500  8 Na 3.42, 4 In 3.68-3.73
Na 0.0051 0.4983 0.6129  2 Hg 3.18-3.19, 2 Na 3.42, 2 In 3.42
Na 0.0051 0.4983 0.8871  2 Hg 3.18-3.19, 2 Na 3.42, 2 In 3.42
Na 0.4983 0.0051 0.1129  2 Hg 3.18-3.19, 2 Na 3.42, 2 In 3.42
Na 0.4983 0.0051 0.3871  2 Hg 3.18-3.19, 2 Na 3.42, 2 In 3.42
Na 0.5017 0.9949 0.6129  2 Hg 3.18-3.19, 2 Na 3.42, 2 In 3.42
Na 0.5017 0.9949 0.8871  2 Hg 3.18-3.19, 2 Na 3.42, 2 In 3.42
Na 0.9949 0.5017 0.1129  2 Hg 3.18-3.19, 2 Na 3.42, 2 In 3.42
Na 0.9949 0.5017 0.3871  2 Hg 3.18-3.19, 2 Na 3.42, 2 In 3.42
Na 0.9977 0.0023 0.2500  8 Na 3.42, 4 In 3.68-3.73
In 0.4946 0.5054 0.2500  12 Na 3.42-3.73
In 0.5054 0.4946 0.7500  12 Na 3.42-3.73
Hg 0.0000 0.0000 0.0000  8 Na 3.18-3.19
Hg 0.0000 0.0000 0.5000  8 Na 3.18-3.19

Values from the calculation:
Symmetry: Cmcm, No. 63
Offset from the most stable computed form, meV/atom: 0.0
M_tot, μB/cell: 0.0
Raw total energy, Ha/atom: -0.05354

=====

Question: The highest raw total energy belongs to which entry?
Answer: Na6InHg12